(1)
This record from Alexandria describes a relaxed structure of TlOsPt2F. The functional is PBEsol.

The space group is P4/mmm (No. 123) and the conventional cell measures 4.221, 4.221 and 4.563 Å, with angles of 90.00, 90.00 and 90.00 degrees. The inequivalent atoms are Tl at (0.000, 0.000, 0.000), Os at (0.500, 0.500, 0.000), Pt at (0.000, 0.500, 0.500) and F at (0.000, 0.000, 0.500).

The calculation puts the calculated total energy at -5.080 eV per atom. The raw formation energy comes out at 102 kJ/mol of atoms.

---

(2)
This record from Alexandria describes a relaxed structure of RbGaCu2C. The functional is PBEsol.

The space group is P4/mmm (No. 123) and the conventional cell measures 5.201, 5.201 and 4.828 Å, with angles of 90.00, 90.00 and 90.00 degrees. The inequivalent atoms are Rb at (0.000, 0.000, 0.000), Ga at (0.500, 0.500, 0.500), Cu at (0.000, 0.500, 0.000) and C at (0.000, 0.000, 0.500).

The calculation puts the calculated total energy at -1.933 eV per atom. Its formation energy is 2.603 eV/atom.

---

(3)
This record from Alexandria describes a relaxed structure of CrAuSeBr2. The functional is PBEsol.

The space group is P4/mmm (No. 123) and the conventional cell measures 5.084, 5.084 and 5.166 Å, with angles of 90.00, 90.00 and 90.00 degrees. The inequivalent atoms are Cr at (0.000, 0.000, 0.000), Au at (0.500, 0.500, 0.500), Se at (0.500, 0.500, 0.000) and Br at (0.000, 0.500, 0.500).

The calculation puts the calculated total energy at -3.790 eV per atom. The raw formation energy comes out at 54 kJ/mol of atoms.

---

(4)
This record from Alexandria describes a relaxed structure of Fe2TcPt. The functional is PBEsol.

The space group is P4/mmm (No. 123) and the conventional cell measures 3.716, 3.716 and 3.518 Å, with angles of 90.00, 90.00 and 90.00 degrees. The inequivalent atoms are Fe at (0.000, 0.500, 0.000), Tc at (0.000, 0.000, 0.500) and Pt at (0.500, 0.500, 0.500).

The calculation puts the calculated total energy at -9.032 eV per atom. Its distance to the lowest polymorph of the same formula is 40 meV per atom. Its formation energy is 0.007 eV/atom.

---

(5)
This record from Alexandria describes a relaxed structure of FeReSe. The functional is PBEsol.

The space group is F-43m (No. 216) and the conventional cell measures 5.755, 5.755 and 5.755 Å, with angles of 90.00, 90.00 and 90.00 degrees. The inequivalent atoms are Fe at (0.000, 0.000, 0.000), Re at (0.250, 0.250, 0.250) and Se at (0.000, 0.000, 0.500).

The calculation puts the calculated total energy at -8.221 eV per atom. The raw formation energy comes out at 48 kJ/mol of atoms.

---

(6)
This record from Alexandria describes a relaxed structure of Mn2CoSi. The functional is PBEsol.

The space group is Pmmm (No. 47) and the conventional cell measures 2.529, 3.509 and 4.847 Å, with angles of 90.00, 90.00 and 90.00 degrees. The inequivalent atoms are Mn at (0.000, 0.000, 0.250), Co at (0.500, 0.500, 0.000) and Si at (0.500, 0.500, 0.500).

The calculation puts the calculated total energy at -8.439 eV per atom. The raw formation energy comes out at -18 kJ/mol of atoms.